1.
CaEuIn2 | GGA-PBE | optimized geometry

Results
As for the energy above the lowest structure with this stoichiometry: 0.008 eV/atom. Its raw total energy is -19.7 eV/f.u. For the formation energy from the elements, the calculation gives -0.475 eV/atom. As for the theoretical density: 5.90 g/cm3.

```
data_CaEuIn2
_chemical_formula_sum 'Ca1 Eu1 In2'
_cell_length_a 3.8759
_cell_length_b 3.8759
_cell_length_c 7.9009
_cell_angle_alpha 90.00
_cell_angle_beta 90.00
_cell_angle_gamma 90.00
_symmetry_space_group_name_H-M 'P 4/m m m'
_symmetry_Int_Tables_number 123
_symmetry_space_group_name_Hall '-P 4 2'
loop_
_atom_site_label
_atom_site_type_symbol
_atom_site_fract_x
_atom_site_fract_y
_atom_site_fract_z
_atom_site_occupancy
Ca1 Ca 0.0000 0.0000 0.0000 1
Eu1 Eu 0.0000 0.0000 0.5000 1
In1 In 0.5000 0.5000 0.2364 1
```



2.
CaEuIn2 | GGA-PBE | optimized geometry

Results
As for the energy above the lowest structure with this stoichiometry: 0.000 eV/atom. Its raw total energy is -19.7 eV/f.u. For the formation energy from the elements, the calculation gives -0.482 eV/atom. As for the theoretical density: 5.90 g/cm3.

```
data_CaEuIn2
_chemical_formula_sum 'Ca4 Eu4 In8'
_cell_length_a 7.7991
_cell_length_b 7.7991
_cell_length_c 7.7991
_cell_angle_alpha 90.00
_cell_angle_beta 90.00
_cell_angle_gamma 90.00
_symmetry_space_group_name_H-M 'F m -3 m'
_symmetry_Int_Tables_number 225
_symmetry_space_group_name_Hall '-F 4 2 3'
loop_
_atom_site_label
_atom_site_type_symbol
_atom_site_fract_x
_atom_site_fract_y
_atom_site_fract_z
_atom_site_occupancy
Ca1 Ca 0.0000 0.0000 0.0000 1
Eu1 Eu 0.0000 0.0000 0.5000 1
In1 In 0.2500 0.2500 0.2500 1
```



3.
CaEuIn | GGA-PBE | optimized geometry

Results
Its raw total energy is -15.8 eV/f.u. For the formation energy from the elements, the calculation gives -0.249 eV/atom. As for the theoretical density: 5.22 g/cm3.

```
data_CaEuIn
_chemical_formula_sum 'Ca1 Eu1 In1'
_cell_length_a 5.5463
_cell_length_b 5.5463
_cell_length_c 3.6625
_cell_angle_alpha 90.00
_cell_angle_beta 90.00
_cell_angle_gamma 120.00
_symmetry_space_group_name_H-M 'P 3 m 1'
_symmetry_Int_Tables_number 156
_symmetry_space_group_name_Hall 'P 3 -2"'
loop_
_atom_site_label
_atom_site_type_symbol
_atom_site_fract_x
_atom_site_fract_y
_atom_site_fract_z
_atom_site_occupancy
Ca1 Ca 0.0000 0.0000 0.0000 1
Eu1 Eu 0.6667 0.3333 0.4010 1
In1 In 0.3333 0.6667 0.7500 1
```



4.
CaEuIn | GGA-PBE | optimized geometry

Results
Its raw total energy is -15.6 eV/f.u. For the formation energy from the elements, the calculation gives -0.199 eV/atom. As for the theoretical density: 4.39 g/cm3.

```
data_CaEuIn
_chemical_formula_sum 'Ca4 Eu4 In4'
_cell_length_a 7.7404
_cell_length_b 7.7404
_cell_length_c 7.7404
_cell_angle_alpha 90.00
_cell_angle_beta 90.00
_cell_angle_gamma 90.00
_symmetry_space_group_name_H-M 'F -4 3 m'
_symmetry_Int_Tables_number 216
_symmetry_space_group_name_Hall 'F -4 2 3'
loop_
_atom_site_label
_atom_site_type_symbol
_atom_site_fract_x
_atom_site_fract_y
_atom_site_fract_z
_atom_site_occupancy
Ca1 Ca 0.0000 0.0000 0.0000 1
Eu1 Eu 0.0000 0.0000 0.5000 1
In1 In 0.2500 0.2500 0.2500 1
```



5.
CaEu2In | GGA-PBE | optimized geometry

Results
As for the energy above the lowest structure with this stoichiometry: 0.031 eV/atom. Its raw total energy is -26.1 eV/f.u. For the formation energy from the elements, the calculation gives -0.207 eV/atom. As for the theoretical density: 5.61 g/cm3.

```
data_CaEu2In
_chemical_formula_sum 'Ca1 Eu2 In1'
_cell_length_a 5.1178
_cell_length_b 5.1178
_cell_length_c 5.1807
_cell_angle_alpha 90.00
_cell_angle_beta 90.00
_cell_angle_gamma 90.00
_symmetry_space_group_name_H-M 'P 4/m m m'
_symmetry_Int_Tables_number 123
_symmetry_space_group_name_Hall '-P 4 2'
loop_
_atom_site_label
_atom_site_type_symbol
_atom_site_fract_x
_atom_site_fract_y
_atom_site_fract_z
_atom_site_occupancy
Ca1 Ca 0.0000 0.0000 0.0000 1
Eu1 Eu 0.0000 0.5000 0.5000 1
In1 In 0.5000 0.5000 0.0000 1
```



6.
CaEu2In | GGA-PBE | optimized geometry

Results
As for the energy above the lowest structure with this stoichiometry: 0.000 eV/atom. Its raw total energy is -26.2 eV/f.u. For the formation energy from the elements, the calculation gives -0.238 eV/atom. As for the theoretical density: 5.18 g/cm3.

```
data_CaEu2In
_chemical_formula_sum 'Ca1 Eu2 In1'
_cell_length_a 4.0122
_cell_length_b 4.0122
_cell_length_c 9.1433
_cell_angle_alpha 90.00
_cell_angle_beta 90.00
_cell_angle_gamma 90.00
_symmetry_space_group_name_H-M 'P 4/m m m'
_symmetry_Int_Tables_number 123
_symmetry_space_group_name_Hall '-P 4 2'
loop_
_atom_site_label
_atom_site_type_symbol
_atom_site_fract_x
_atom_site_fract_y
_atom_site_fract_z
_atom_site_occupancy
Ca1 Ca 0.0000 0.0000 0.0000 1
Eu1 Eu 0.5000 0.5000 0.2981 1
In1 In 0.0000 0.0000 0.5000 1
```



7.
KCaEuIn | GGA-PBE | optimized geometry

Results
Its raw total energy is -16.5 eV/f.u. For the formation energy from the elements, the calculation gives -0.090 eV/atom. As for the theoretical density: 4.07 g/cm3.

```
data_KCaEuIn
_chemical_formula_sum 'K4 Ca4 Eu4 In4'
_cell_length_a 8.2619
_cell_length_b 8.2619
_cell_length_c 8.2619
_cell_angle_alpha 90.00
_cell_angle_beta 90.00
_cell_angle_gamma 90.00
_symmetry_space_group_name_H-M 'F -4 3 m'
_symmetry_Int_Tables_number 216
_symmetry_space_group_name_Hall 'F -4 2 3'
loop_
_atom_site_label
_atom_site_type_symbol
_atom_site_fract_x
_atom_site_fract_y
_atom_site_fract_z
_atom_site_occupancy
K1 K 0.0000 0.0000 0.0000 1
Ca1 Ca 0.2500 0.2500 0.7500 1
Eu1 Eu 0.2500 0.2500 0.2500 1
In1 In 0.0000 0.0000 0.5000 1
```



8.
LiCaEuIn | GGA-PBE | optimized geometry

Results
Its raw total energy is -18.0 eV/f.u. For the formation energy from the elements, the calculation gives -0.279 eV/atom. As for the theoretical density: 4.36 g/cm3.

```
data_LiCaEuIn
_chemical_formula_sum 'Li4 Ca4 Eu4 In4'
_cell_length_a 7.8177
_cell_length_b 7.8177
_cell_length_c 7.8177
_cell_angle_alpha 90.00
_cell_angle_beta 90.00
_cell_angle_gamma 90.00
_symmetry_space_group_name_H-M 'F -4 3 m'
_symmetry_Int_Tables_number 216
_symmetry_space_group_name_Hall 'F -4 2 3'
loop_
_atom_site_label
_atom_site_type_symbol
_atom_site_fract_x
_atom_site_fract_y
_atom_site_fract_z
_atom_site_occupancy
Li1 Li 0.0000 0.0000 0.0000 1
Ca1 Ca 0.2500 0.2500 0.7500 1
Eu1 Eu 0.2500 0.2500 0.2500 1
In1 In 0.0000 0.0000 0.5000 1
```



9.
CaEuLuIn | GGA-PBE | optimized geometry

Results
Its raw total energy is -20.0 eV/f.u. For the formation energy from the elements, the calculation gives -0.124 eV/atom. As for the theoretical density: 6.50 g/cm3.

```
data_CaEuLuIn
_chemical_formula_sum 'Ca4 Eu4 Lu4 In4'
_cell_length_a 7.8957
_cell_length_b 7.8957
_cell_length_c 7.8957
_cell_angle_alpha 90.00
_cell_angle_beta 90.00
_cell_angle_gamma 90.00
_symmetry_space_group_name_H-M 'F -4 3 m'
_symmetry_Int_Tables_number 216
_symmetry_space_group_name_Hall 'F -4 2 3'
loop_
_atom_site_label
_atom_site_type_symbol
_atom_site_fract_x
_atom_site_fract_y
_atom_site_fract_z
_atom_site_occupancy
Ca1 Ca 0.0000 0.0000 0.0000 1
Eu1 Eu 0.2500 0.2500 0.7500 1
Lu1 Lu 0.2500 0.2500 0.2500 1
In1 In 0.0000 0.0000 0.5000 1
```



10.
CaEuMgIn | GGA-PBE | optimized geometry

Results
Its raw total energy is -17.9 eV/f.u. For the formation energy from the elements, the calculation gives -0.313 eV/atom. As for the theoretical density: 4.56 g/cm3.

```
data_CaEuMgIn
_chemical_formula_sum 'Ca4 Eu4 Mg4 In4'
_cell_length_a 7.8406
_cell_length_b 7.8406
_cell_length_c 7.8406
_cell_angle_alpha 90.00
_cell_angle_beta 90.00
_cell_angle_gamma 90.00
_symmetry_space_group_name_H-M 'F -4 3 m'
_symmetry_Int_Tables_number 216
_symmetry_space_group_name_Hall 'F -4 2 3'
loop_
_atom_site_label
_atom_site_type_symbol
_atom_site_fract_x
_atom_site_fract_y
_atom_site_fract_z
_atom_site_occupancy
Ca1 Ca 0.0000 0.0000 0.0000 1
Eu1 Eu 0.0000 0.0000 0.5000 1
Mg1 Mg 0.2500 0.2500 0.7500 1
In1 In 0.2500 0.2500 0.2500 1
```



11.
CaNdEuIn | GGA-PBE | optimized geometry

Results
Its raw total energy is -20.5 eV/f.u. For the formation energy from the elements, the calculation gives -0.182 eV/atom. As for the theoretical density: 5.73 g/cm3.

```
data_CaNdEuIn
_chemical_formula_sum 'Ca4 Nd4 Eu4 In4'
_cell_length_a 8.0547
_cell_length_b 8.0547
_cell_length_c 8.0547
_cell_angle_alpha 90.00
_cell_angle_beta 90.00
_cell_angle_gamma 90.00
_symmetry_space_group_name_H-M 'F -4 3 m'
_symmetry_Int_Tables_number 216
_symmetry_space_group_name_Hall 'F -4 2 3'
loop_
_atom_site_label
_atom_site_type_symbol
_atom_site_fract_x
_atom_site_fract_y
_atom_site_fract_z
_atom_site_occupancy
Ca1 Ca 0.0000 0.0000 0.0000 1
Nd1 Nd 0.2500 0.2500 0.2500 1
Eu1 Eu 0.2500 0.2500 0.7500 1
In1 In 0.0000 0.0000 0.5000 1
```



12.
CaEuInPb | GGA-PBE | optimized geometry

Results
Its raw total energy is -20.7 eV/f.u. For the formation energy from the elements, the calculation gives -0.499 eV/atom. As for the theoretical density: 6.96 g/cm3.

```
data_CaEuInPb
_chemical_formula_sum 'Ca4 Eu4 In4 Pb4'
_cell_length_a 7.8853
_cell_length_b 7.8853
_cell_length_c 7.8853
_cell_angle_alpha 90.00
_cell_angle_beta 90.00
_cell_angle_gamma 90.00
_symmetry_space_group_name_H-M 'F -4 3 m'
_symmetry_Int_Tables_number 216
_symmetry_space_group_name_Hall 'F -4 2 3'
loop_
_atom_site_label
_atom_site_type_symbol
_atom_site_fract_x
_atom_site_fract_y
_atom_site_fract_z
_atom_site_occupancy
Ca1 Ca 0.0000 0.0000 0.0000 1
Eu1 Eu 0.0000 0.0000 0.5000 1
In1 In 0.2500 0.2500 0.7500 1
Pb1 Pb 0.2500 0.2500 0.2500 1
```



13.
CaEuInPd | GGA-PBE | optimized geometry

Results
Its raw total energy is -22.1 eV/f.u. For the formation energy from the elements, the calculation gives -0.469 eV/atom. As for the theoretical density: 6.53 g/cm3.

```
data_CaEuInPd
_chemical_formula_sum 'Ca4 Eu4 In4 Pd4'
_cell_length_a 7.4902
_cell_length_b 7.4902
_cell_length_c 7.4902
_cell_angle_alpha 90.00
_cell_angle_beta 90.00
_cell_angle_gamma 90.00
_symmetry_space_group_name_H-M 'F -4 3 m'
_symmetry_Int_Tables_number 216
_symmetry_space_group_name_Hall 'F -4 2 3'
loop_
_atom_site_label
_atom_site_type_symbol
_atom_site_fract_x
_atom_site_fract_y
_atom_site_fract_z
_atom_site_occupancy
Ca1 Ca 0.0000 0.0000 0.0000 1
Eu1 Eu 0.0000 0.0000 0.5000 1
In1 In 0.2500 0.2500 0.2500 1
Pd1 Pd 0.2500 0.2500 0.7500 1
```



14.
CaPmEuIn | GGA-PBE | optimized geometry

Results
Its raw total energy is -20.4 eV/f.u. For the formation energy from the elements, the calculation gives -0.147 eV/atom. As for the theoretical density: 5.86 g/cm3.

```
data_CaPmEuIn
_chemical_formula_sum 'Ca4 Pm4 Eu4 In4'
_cell_length_a 8.0013
_cell_length_b 8.0013
_cell_length_c 8.0013
_cell_angle_alpha 90.00
_cell_angle_beta 90.00
_cell_angle_gamma 90.00
_symmetry_space_group_name_H-M 'F -4 3 m'
_symmetry_Int_Tables_number 216
_symmetry_space_group_name_Hall 'F -4 2 3'
loop_
_atom_site_label
_atom_site_type_symbol
_atom_site_fract_x
_atom_site_fract_y
_atom_site_fract_z
_atom_site_occupancy
Ca1 Ca 0.0000 0.0000 0.0000 1
Pm1 Pm 0.0000 0.0000 0.5000 1
Eu1 Eu 0.2500 0.2500 0.2500 1
In1 In 0.2500 0.2500 0.7500 1
```



15.
CaPrEuIn | GGA-PBE | optimized geometry

Results
Its raw total energy is -20.4 eV/f.u. For the formation energy from the elements, the calculation gives -0.158 eV/atom. As for the theoretical density: 5.70 g/cm3.

```
data_CaPrEuIn
_chemical_formula_sum 'Ca4 Pr4 Eu4 In4'
_cell_length_a 8.0512
_cell_length_b 8.0512
_cell_length_c 8.0512
_cell_angle_alpha 90.00
_cell_angle_beta 90.00
_cell_angle_gamma 90.00
_symmetry_space_group_name_H-M 'F -4 3 m'
_symmetry_Int_Tables_number 216
_symmetry_space_group_name_Hall 'F -4 2 3'
loop_
_atom_site_label
_atom_site_type_symbol
_atom_site_fract_x
_atom_site_fract_y
_atom_site_fract_z
_atom_site_occupancy
Ca1 Ca 0.0000 0.0000 0.0000 1
Pr1 Pr 0.0000 0.0000 0.5000 1
Eu1 Eu 0.2500 0.2500 0.7500 1
In1 In 0.2500 0.2500 0.2500 1
```